The following is a DFT calculation (PBE) of a relaxed Tc2IrRh8 crystal.

Properties
- N(E_F): 11.93 states/eV per cell
- Symmetry: Immm
- Energy of formation from the pure elements: 0.122 eV per atom

Lattice parameters (Å, degrees): 4.113 6.499 7.209 116.79 106.58 90.00
Positions (direct):
Tc 0.198 0.698 0.397
Tc 0.802 0.302 0.603
Rh 0.164 0.164 0.328
Rh 0.646 0.857 0.292
Rh 0.354 0.143 0.708
Rh 0.354 0.565 0.708
Rh 0.000 0.707 0.000
Rh 0.646 0.435 0.292
Rh 0.000 0.293 0.000
Rh 0.836 0.836 0.672
Ir 0.500 0.000 0.000